1.
! YSbN2O (GGA-PBE, optimized geometry); values from VASP
&SYSTEM
  ibrav = 0, nat = 5, ntyp = 4
/
ATOMIC_SPECIES
Y 88.91 Y.upf
Sb 121.76 Sb.upf
N 14.01 N.upf
O 16.00 O.upf
CELL_PARAMETERS angstrom
4.4634 0.0000 0.0000
0.0000 4.4634 0.0000
0.0000 0.0000 4.2780
ATOMIC_POSITIONS crystal
Y 0.0000 0.0000 0.0000
Sb 0.5000 0.5000 0.5000
N 0.0000 0.5000 0.0000
N 0.5000 0.0000 0.0000
O 0.0000 0.0000 0.5000
! - E_form (uncorrected): 1.60 eV/f.u.
! - Total energy: -6.119 eV per atom
! - Crystal system: tetragonal



2.
! YSbN2O (GGA-PBE, optimized geometry); values from VASP
&SYSTEM
  ibrav = 0, nat = 5, ntyp = 4
/
ATOMIC_SPECIES
Y 88.91 Y.upf
Sb 121.76 Sb.upf
N 14.01 N.upf
O 16.00 O.upf
CELL_PARAMETERS angstrom
4.0500 0.0000 0.0000
0.0000 4.0500 0.0000
0.0000 0.0000 3.9728
ATOMIC_POSITIONS crystal
Y 0.0000 0.0000 0.0000
Sb 0.5000 0.5000 0.5000
N 0.0000 0.5000 0.5000
N 0.5000 0.0000 0.5000
O 0.5000 0.5000 0.0000
! - E_form (uncorrected): -3.16 eV/f.u.
! - Total energy: -7.071 eV per atom
! - Crystal system: tetragonal



3.
! ZnSbNO2 (GGA-PBE, optimized geometry); values from VASP
&SYSTEM
  ibrav = 0, nat = 5, ntyp = 4
/
ATOMIC_SPECIES
Zn 65.41 Zn.upf
Sb 121.76 Sb.upf
N 14.01 N.upf
O 16.00 O.upf
CELL_PARAMETERS angstrom
3.8558 0.0000 0.0000
0.0000 3.8558 0.0000
0.0000 0.0000 3.9919
ATOMIC_POSITIONS crystal
Zn 0.0000 0.0000 0.0000
Sb 0.5000 0.5000 0.5000
N 0.0000 0.0000 0.5000
O 0.0000 0.5000 0.0000
O 0.5000 0.0000 0.0000
! - E_form (uncorrected): 1.17 eV/f.u.
! - Total energy: -4.494 eV per atom
! - Crystal system: tetragonal



4.
! ZnSbNO2 (GGA-PBE, optimized geometry); values from VASP
&SYSTEM
  ibrav = 0, nat = 5, ntyp = 4
/
ATOMIC_SPECIES
Zn 65.41 Zn.upf
Sb 121.76 Sb.upf
N 14.01 N.upf
O 16.00 O.upf
CELL_PARAMETERS angstrom
3.9043 0.0000 0.0000
0.0000 3.9043 0.0000
0.0000 0.0000 4.1234
ATOMIC_POSITIONS crystal
Zn 0.0000 0.0000 0.0000
Sb 0.5000 0.5000 0.5000
N 0.5000 0.5000 0.0000
O 0.0000 0.5000 0.5000
O 0.5000 0.0000 0.5000
! - E_form (uncorrected): -0.51 eV/f.u.
! - Total energy: -4.829 eV per atom
! - Crystal system: tetragonal



5.
! ZnSbNO2 (GGA-PBE, optimized geometry); values from VASP
&SYSTEM
  ibrav = 0, nat = 5, ntyp = 4
/
ATOMIC_SPECIES
Zn 65.41 Zn.upf
Sb 121.76 Sb.upf
N 14.01 N.upf
O 16.00 O.upf
CELL_PARAMETERS angstrom
3.8663 0.0000 0.0000
0.0000 3.8663 0.0000
0.0000 0.0000 4.3686
ATOMIC_POSITIONS crystal
Zn 0.0000 0.0000 0.0000
Sb 0.5000 0.5000 0.0000
N 0.5000 0.5000 0.5000
O 0.0000 0.5000 0.5000
O 0.5000 0.0000 0.5000
! - E_form (uncorrected): 4.87 eV/f.u.
! - Total energy: -3.753 eV per atom
! - Crystal system: tetragonal



6.
! ZrSbNO2 (GGA-PBE, optimized geometry); values from VASP
&SYSTEM
  ibrav = 0, nat = 5, ntyp = 4
/
ATOMIC_SPECIES
Zr 91.22 Zr.upf
Sb 121.76 Sb.upf
N 14.01 N.upf
O 16.00 O.upf
CELL_PARAMETERS angstrom
4.0811 0.0000 0.0000
0.0000 4.0811 0.0000
0.0000 0.0000 4.4540
ATOMIC_POSITIONS crystal
Zr 0.0000 0.0000 0.0000
Sb 0.5000 0.5000 0.5000
N 0.0000 0.0000 0.5000
O 0.0000 0.5000 0.0000
O 0.5000 0.0000 0.0000
! - E_form (uncorrected): -5.71 eV/f.u.
! - Total energy: -7.324 eV per atom
! - Crystal system: tetragonal



7.
! ZrSbNO2 (GGA-PBE, optimized geometry); values from VASP
&SYSTEM
  ibrav = 0, nat = 5, ntyp = 4
/
ATOMIC_SPECIES
Zr 91.22 Zr.upf
Sb 121.76 Sb.upf
N 14.01 N.upf
O 16.00 O.upf
CELL_PARAMETERS angstrom
4.0383 0.0000 0.0000
0.0000 4.0383 0.0000
0.0000 0.0000 4.1553
ATOMIC_POSITIONS crystal
Zr 0.0000 0.0000 0.0000
Sb 0.5000 0.5000 0.5000
N 0.5000 0.5000 0.0000
O 0.0000 0.5000 0.5000
O 0.5000 0.0000 0.5000
! - E_form (uncorrected): -2.18 eV/f.u.
! - Total energy: -6.619 eV per atom
! - Crystal system: tetragonal



8.
! Sc6N2O (GGA-PBE, optimized geometry); values from VASP
&SYSTEM
  ibrav = 0, nat = 9, ntyp = 3
/
ATOMIC_SPECIES
Sc 44.96 Sc.upf
N 14.01 N.upf
O 16.00 O.upf
CELL_PARAMETERS angstrom
7.0495 -1.6160 0.0000
7.0495 1.6160 0.0000
-1.5312 0.0000 6.3046
ATOMIC_POSITIONS crystal
Sc 0.0050 0.0050 0.2428
Sc 0.3291 0.3291 0.4287
Sc 0.3364 0.3364 0.9037
Sc 0.6636 0.6636 0.0963
Sc 0.6709 0.6709 0.5713
Sc 0.9950 0.9950 0.7572
N 0.1659 0.1659 0.3319
N 0.8341 0.8341 0.6681
O 0.5000 0.5000 0.0000
! - E_form (uncorrected): -13.53 eV/f.u.
! - Total energy: -8.126 eV per atom
! - Crystal system: monoclinic



9.
! Sc6N5O (GGA-PBE, optimized geometry); values from VASP
&SYSTEM
  ibrav = 0, nat = 12, ntyp = 3
/
ATOMIC_SPECIES
Sc 44.96 Sc.upf
N 14.01 N.upf
O 16.00 O.upf
CELL_PARAMETERS angstrom
2.7607 -4.7789 0.0000
2.7607 4.7789 0.0000
-1.8429 0.0000 5.2059
ATOMIC_POSITIONS crystal
Sc 0.0764 0.4157 0.7476
Sc 0.2456 0.2456 0.2550
Sc 0.4157 0.0764 0.7476
Sc 0.5843 0.9236 0.2524
Sc 0.7544 0.7544 0.7450
Sc 0.9236 0.5843 0.2524
N 0.0000 0.0000 0.5000
N 0.1669 0.8331 0.0000
N 0.3335 0.6665 0.5000
N 0.6665 0.3335 0.5000
N 0.8331 0.1669 0.0000
O 0.5000 0.5000 0.0000
! - E_form (uncorrected): -25.93 eV/f.u.
! - Total energy: -9.209 eV per atom
! - Crystal system: monoclinic



10.
! Sc5NO5 (GGA-PBE, optimized geometry); values from VASP
&SYSTEM
  ibrav = 0, nat = 11, ntyp = 3
/
ATOMIC_SPECIES
Sc 44.96 Sc.upf
N 14.01 N.upf
O 16.00 O.upf
CELL_PARAMETERS angstrom
4.9994 -2.1940 0.0000
4.9994 2.1940 0.0000
-2.0178 0.0000 5.9485
ATOMIC_POSITIONS crystal
Sc 0.0000 0.0000 0.0000
Sc 0.3358 0.3358 0.6656
Sc 0.3463 0.3463 0.1786
Sc 0.6537 0.6537 0.8214
Sc 0.6642 0.6642 0.3344
N 0.5000 0.5000 0.0000
O 0.1768 0.1768 0.8509
O 0.1776 0.1776 0.3267
O 0.5000 0.5000 0.5000
O 0.8224 0.8224 0.6733
O 0.8232 0.8232 0.1491
! - E_form (uncorrected): -33.34 eV/f.u.
! - Total energy: -8.919 eV per atom
! - Crystal system: monoclinic



11.
! Sc4NO (GGA-PBE, optimized geometry); values from VASP
&SYSTEM
  ibrav = 0, nat = 12, ntyp = 3
/
ATOMIC_SPECIES
Sc 44.96 Sc.upf
N 14.01 N.upf
O 16.00 O.upf
CELL_PARAMETERS angstrom
-3.7913 3.7913 3.2672
3.7913 -3.7913 3.2672
3.7913 3.7913 -3.2672
ATOMIC_POSITIONS crystal
Sc 0.2021 0.0000 0.2021
Sc 0.2458 0.5423 0.2965
Sc 0.2458 0.9493 0.7035
Sc 0.2923 0.4958 0.7965
Sc 0.6993 0.4958 0.2035
Sc 0.7500 0.0479 0.2979
Sc 0.7500 0.4521 0.7021
Sc 0.7979 0.0000 0.7979
N 0.2450 0.2450 0.0000
N 0.9950 0.4950 0.5000
O 0.5000 0.0000 0.5000
O 0.7500 0.7500 0.0000
! - E_form (uncorrected): -9.44 eV/f.u.
! - Total energy: -8.008 eV per atom
! - Crystal system: tetragonal
! - Excess energy over the best structure of this formula in the dataset: 0.314 eV per formula unit



12.
! Sc3NO2 (GGA-PBE, optimized geometry); values from VASP
&SYSTEM
  ibrav = 0, nat = 12, ntyp = 3
/
ATOMIC_SPECIES
Sc 44.96 Sc.upf
N 14.01 N.upf
O 16.00 O.upf
CELL_PARAMETERS angstrom
3.1678 0.0000 0.0000
0.0000 4.4678 0.0000
0.0000 0.0000 9.5997
ATOMIC_POSITIONS crystal
Sc 0.0000 0.0000 0.0000
Sc 0.0000 0.0000 0.3413
Sc 0.0000 0.0000 0.6587
Sc 0.5000 0.5000 0.1587
Sc 0.5000 0.5000 0.5000
Sc 0.5000 0.5000 0.8413
N 0.0000 0.5000 0.0000
N 0.5000 0.0000 0.5000
O 0.0000 0.5000 0.3323
O 0.0000 0.5000 0.6677
O 0.5000 0.0000 0.1677
O 0.5000 0.0000 0.8323
! - E_form (uncorrected): -15.96 eV/f.u.
! - Total energy: -8.867 eV per atom
! - Crystal system: orthorhombic
! - Excess energy over the best structure of this formula in the dataset: 0.000 eV per formula unit



Please write out number 10 again, unchanged.
! Sc5NO5 (GGA-PBE, optimized geometry); values from VASP
&SYSTEM
  ibrav = 0, nat = 11, ntyp = 3
/
ATOMIC_SPECIES
Sc 44.96 Sc.upf
N 14.01 N.upf
O 16.00 O.upf
CELL_PARAMETERS angstrom
4.9994 -2.1940 0.0000
4.9994 2.1940 0.0000
-2.0178 0.0000 5.9485
ATOMIC_POSITIONS crystal
Sc 0.0000 0.0000 0.0000
Sc 0.3358 0.3358 0.6656
Sc 0.3463 0.3463 0.1786
Sc 0.6537 0.6537 0.8214
Sc 0.6642 0.6642 0.3344
N 0.5000 0.5000 0.0000
O 0.1768 0.1768 0.8509
O 0.1776 0.1776 0.3267
O 0.5000 0.5000 0.5000
O 0.8224 0.8224 0.6733
O 0.8232 0.8232 0.1491
! - E_form (uncorrected): -33.34 eV/f.u.
! - Total energy: -8.919 eV per atom
! - Crystal system: monoclinic